1.
Computed, not measured: crystalline CaCdPd at its relaxed geometry at the GGA-PBE level of DFT.

Cell and atoms, written as POSCAR:
```
CaCdPd
1.0
-3.902 0.430 2.138
2.139 -5.204 4.951
3.326 5.995 4.864
Cd Pd Ca
4 4 4
Direct
0.500 0.199 0.122
0.500 0.801 0.122
0.000 0.301 0.622
0.000 0.699 0.622
0.500 0.700 0.809
0.000 0.200 0.309
0.000 0.800 0.309
0.500 0.300 0.809
0.000 0.000 0.899
0.500 0.500 0.399
0.500 0.000 0.498
0.000 0.500 0.998
```

Energy relative to the elements (eV/f.u.): -1.56
SG: Imm2, No. 44

---

2.
Computed, not measured: crystalline Pm6Ge2Sb at its relaxed geometry at the GGA-PBE level of DFT.

Cell and atoms, written as POSCAR:
```
Pm6Ge2Sb
1.0
8.773 -0.035 -0.149
-3.356 8.106 0.149
-3.029 -3.820 7.295
Pm Ge Sb
12 4 2
Direct
0.293 0.616 0.323
0.795 0.245 0.040
0.088 0.275 0.813
0.707 0.030 0.323
0.205 0.755 0.960
0.205 0.245 0.449
0.538 0.725 0.813
0.462 0.275 0.187
0.707 0.384 0.677
0.795 0.755 0.551
0.293 0.970 0.677
0.912 0.725 0.187
0.500 0.619 0.119
0.632 0.000 0.632
0.368 0.000 0.368
0.500 0.381 0.881
0.000 0.500 0.500
0.000 0.000 0.000
```

Formation energy (no corrections) (kJ/mol of formula units): -566
SG: Immm, No. 71

---

3.
Computed, not measured: crystalline Ho2MgS4 at its relaxed geometry at the GGA-PBE level of DFT.

Cell and atoms, written as POSCAR:
```
Ho2MgS4
1.0
-3.132 5.205 -4.007
-0.642 -5.030 -6.033
-10.258 -3.248 3.801
S Mg Ho
16 4 8
Direct
0.750 0.108 0.455
0.000 0.627 0.342
0.250 0.774 0.109
0.250 0.892 0.545
0.750 0.608 0.045
0.500 0.627 0.342
0.750 0.226 0.891
0.250 0.274 0.391
0.250 0.392 0.955
0.500 0.127 0.158
0.500 0.873 0.842
0.000 0.873 0.842
0.750 0.726 0.609
0.000 0.373 0.658
0.500 0.373 0.658
0.000 0.127 0.158
0.250 0.679 0.905
0.750 0.821 0.405
0.750 0.321 0.095
0.250 0.179 0.595
0.250 0.068 0.981
0.250 0.453 0.190
0.250 0.568 0.519
0.250 0.953 0.310
0.750 0.432 0.481
0.750 0.047 0.690
0.750 0.932 0.019
0.750 0.547 0.810
```

Formation energy (no corrections) (kJ/mol of formula units): -1118
SG: Pnma, No. 62

---

4.
Computed, not measured: crystalline Tb3PrCl at its relaxed geometry at the GGA-PBE level of DFT.

Cell and atoms, written as POSCAR:
```
Tb3PrCl
1.0
5.347 0.000 0.000
0.000 5.347 0.000
0.000 0.000 5.347
Tb Pr Cl
3 1 1
Direct
0.500 0.000 0.000
0.000 0.500 0.000
0.000 0.000 0.500
0.500 0.500 0.500
0.000 0.000 0.000
```

Formation energy (no corrections) (kJ/mol of formula units): -228
SG: Pm-3m, No. 221

---

5.
Computed, not measured: crystalline Y12CdPd6 at its relaxed geometry at the GGA-PBE level of DFT.

Cell and atoms, written as POSCAR:
```
Y12CdPd6
1.0
8.154 0.000 -2.883
-4.077 7.062 -2.883
0.000 0.000 8.649
Y Pd Cd
12 6 1
Direct
0.704 0.886 0.183
0.479 0.183 0.296
0.704 0.521 0.817
0.183 0.704 0.886
0.886 0.183 0.704
0.296 0.479 0.183
0.183 0.296 0.479
0.296 0.114 0.817
0.817 0.296 0.114
0.114 0.817 0.296
0.817 0.704 0.521
0.521 0.817 0.704
0.500 0.864 0.364
0.636 0.500 0.136
0.136 0.636 0.500
0.500 0.136 0.636
0.864 0.364 0.500
0.364 0.500 0.864
0.000 0.000 0.000
```

Energy relative to the elements (eV/f.u.): -11.17
SG: Im-3, No. 204

---

6.
Computed, not measured: crystalline Mg3In2Pb at its relaxed geometry at the GGA-PBE level of DFT.

Cell and atoms, written as POSCAR:
```
Mg3In2Pb
1.0
-1.916 1.952 -2.285
1.259 -1.939 -2.712
-8.902 -7.390 1.150
Mg Pb In
3 1 2
Direct
0.000 0.000 0.000
0.000 0.000 0.319
0.000 0.000 0.681
0.500 0.500 0.500
0.500 0.500 0.841
0.500 0.500 0.159
```

Energy relative to the elements (eV/f.u.): -0.37
SG: P4/mmm, No. 123

---

Calculated values (eV/atom) of uncorrected energy for the records, taken in order: -3.224; -5.303; -5.550; -4.576; -6.359; -2.390.